Below is a relaxed structure of PrBe2Au2, with properties calculated at the PBE-GGA level.

Calculated values
Fermi-level density of states = 0.65 states/eV/atom
ΔE_f = -0.43 eV/atom

Structure (POSCAR):
```
PrBe2Au2
1.0
4.329 0.000 0.000
0.000 4.329 0.000
0.000 0.000 9.378
Pr Au Be
2 4 4
direct
0.000 0.500 0.743
0.500 0.000 0.257
0.000 0.000 0.000
0.000 0.500 0.380
0.500 0.500 0.000
0.500 0.000 0.620
0.000 0.500 0.122
0.000 0.000 0.500
0.500 0.000 0.878
0.500 0.500 0.500
```



Below is a relaxed structure of PrBe4Au12, with properties calculated at the PBE-GGA level.

Calculated values
Fermi-level density of states = 0.36 states/eV/atom
ΔE_f = -0.12 eV/atom

Structure (POSCAR):
```
PrBe4Au12
1.0
-4.665 -1.008 -5.609
6.077 -4.008 -1.111
-3.218 -2.110 6.279
Au Be Pr
12 4 1
direct
0.162 0.828 0.334
0.334 0.162 0.828
0.494 0.828 0.666
0.838 0.172 0.666
0.666 0.838 0.172
0.666 0.494 0.828
0.334 0.506 0.172
0.172 0.334 0.506
0.828 0.334 0.162
0.506 0.172 0.334
0.828 0.666 0.494
0.172 0.666 0.838
0.000 0.500 0.000
0.000 0.000 0.500
0.500 0.500 0.500
0.500 0.000 0.000
0.000 0.000 0.000
```



Below is a relaxed structure of Pr2Be3Pt4Au, with properties calculated at the PBE-GGA level.

Calculated values
Fermi-level density of states = 0.24 states/eV/atom
ΔE_f = -0.78 eV/atom

Structure (POSCAR):
```
Pr2Be3Pt4Au
1.0
-1.665 1.788 3.266
1.980 -2.604 2.436
8.143 6.662 0.503
Pt Au Be Pr
4 1 3 2
direct
0.000 0.500 0.330
0.500 0.500 0.000
0.500 0.000 0.670
0.000 0.000 0.000
0.500 0.500 0.500
0.000 0.500 0.109
0.000 0.000 0.500
0.500 0.000 0.891
0.500 0.000 0.241
0.000 0.500 0.759
```



Below is a relaxed structure of Pr2Be4Si3Au, with properties calculated at the PBE-GGA level.

Calculated values
E = -48.4 eV for the cell shown
Fermi-level density of states = 0.24 states/eV/atom

Structure (POSCAR):
```
Pr2Be4Si3Au
1.0
3.996 0.000 0.000
0.000 3.996 0.000
0.000 0.000 9.929
Be Au Si Pr
4 1 3 2
direct
0.500 0.500 0.000
0.000 0.000 0.000
0.500 0.000 0.635
0.000 0.500 0.365
0.500 0.500 0.500
0.000 0.500 0.128
0.000 0.000 0.500
0.500 0.000 0.872
0.000 0.500 0.759
0.500 0.000 0.241
```



Below is a relaxed structure of PrBeZn2Au4, with properties calculated at the PBE-GGA level.

Calculated values
Fermi-level density of states = 0.48 states/eV/atom
ΔE_f = -0.37 eV/atom

Structure (POSCAR):
```
PrBeZn2Au4
1.0
4.455 0.000 0.000
2.227 3.858 0.000
2.227 1.286 8.605
Pr Au Be Zn
1 4 1 2
direct
0.000 0.000 0.000
0.137 0.137 0.590
0.595 0.595 0.214
0.405 0.405 0.786
0.863 0.863 0.410
0.500 0.500 0.500
0.243 0.243 0.270
0.757 0.757 0.730
```



Below is a relaxed structure of PrBe2ZnAu5, with properties calculated at the PBE-GGA level.

Calculated values
Fermi-level density of states = 0.26 states/eV/atom
ΔE_f = -0.27 eV/atom

Structure (POSCAR):
```
PrBe2ZnAu5
1.0
4.695 0.000 0.000
0.000 4.695 0.000
0.000 0.000 7.311
Au Be Zn Pr
5 2 1 1
direct
0.500 0.000 0.205
0.500 0.000 0.795
0.000 0.500 0.795
0.500 0.500 0.500
0.000 0.500 0.205
0.500 0.500 0.831
0.500 0.500 0.169
0.000 0.000 0.000
0.000 0.000 0.500
```